Density functional theory data (PBE-GGA) for a relaxed structure of Dy6TlRu.

Geometry as CIF:
```
data_Dy6TlRu
_symmetry_space_group_name_H-M 'P -1'
_symmetry_Int_Tables_number 2
_cell_length_a 6.8717
_cell_length_b 6.9182
_cell_length_c 7.4410
_cell_angle_alpha 90.44
_cell_angle_beta 116.90
_cell_angle_gamma 119.77
loop_
_symmetry_equiv_pos_as_xyz
'x,y,z'
'-x,-y,-z'
loop_
_atom_site_label
_atom_site_type_symbol
_atom_site_fract_x
_atom_site_fract_y
_atom_site_fract_z
Dy1 Dy 0.0479 0.0839 0.2576
Dy2 Dy 0.2929 0.7085 0.2563
Dy3 Dy 0.3220 0.5338 0.7439
Tl1 Tl 0.5000 0.0000 0.0000
Ru1 Ru 0.5000 0.5000 0.5000
```

**E**: -4.91 eV per atom
**Energy of formation from the pure elements**: 0.000 eV per atom
**M_tot**: 0.000 Bohr magnetons per cell

Density functional theory data (PBE-GGA) for a relaxed structure of Dy8TlRu2.

Geometry as CIF:
```
data_Dy8TlRu2
_symmetry_space_group_name_H-M 'C 1 2/m 1'
_symmetry_Int_Tables_number 12
_cell_length_a 8.7479
_cell_length_b 13.1515
_cell_length_c 5.4529
_cell_angle_alpha 90.00
_cell_angle_beta 103.44
_cell_angle_gamma 90.00
loop_
_symmetry_equiv_pos_as_xyz
'x,y,z'
'-x,-y,-z'
'-x,y,-z'
'x,-y,z'
'x+1/2,y+1/2,z'
'-x+1/2,-y+1/2,-z'
'-x+1/2,y+1/2,-z'
'x+1/2,-y+1/2,z'
loop_
_atom_site_label
_atom_site_type_symbol
_atom_site_fract_x
_atom_site_fract_y
_atom_site_fract_z
Dy1 Dy 0.0000 0.2480 0.0000
Dy2 Dy 0.1146 0.5000 0.7997
Dy3 Dy 0.1979 0.1325 0.5779
Tl1 Tl 0.0000 0.0000 0.0000
Ru1 Ru 0.0000 0.3124 0.5000
```

**E**: -5.47 eV per atom
**Energy of formation from the pure elements**: -0.226 eV per atom
**M_tot**: 0.000 Bohr magnetons per cell